[1]
{"formula": "Tm2Pt", "functional": "meta-GGA SCAN", "state": "single point on PBEsol structure", "lattice": [[4.6350, 0.0000, 0.0000], [0.0000, 6.9316, 0.0000], [0.0000, 0.0000, 8.5615]], "species": ["Pt", "Pt", "Pt", "Pt", "Tm", "Tm", "Tm", "Tm", "Tm", "Tm", "Tm", "Tm"], "frac_coords": [[0.2500, 0.2592, 0.9052], [0.7500, 0.2408, 0.4052], [0.7500, 0.7408, 0.0948], [0.2500, 0.7592, 0.5948], [0.7500, 0.1458, 0.0790], [0.2500, 0.9894, 0.3301], [0.2500, 0.4894, 0.1699], [0.7500, 0.6458, 0.4210], [0.2500, 0.8542, 0.9210], [0.7500, 0.5106, 0.8301], [0.7500, 0.0106, 0.6699], [0.2500, 0.3542, 0.5790]], "e_form_ev_per_atom": -1.2319, "sg": "Pnma", "magnetic_moment_mub_per_cell": 0.00, "dft_energy_ev_per_atom": -59.184}

***

[2]
{"formula": "VPt3", "functional": "meta-GGA SCAN", "state": "single point on PBEsol structure", "lattice": [[3.8652, 0.0000, 0.0000], [0.0000, 3.8652, 0.0000], [0.0000, 0.0000, 3.8652]], "species": ["Pt", "Pt", "Pt", "V"], "frac_coords": [[0.5000, 0.5000, 0.0000], [0.0000, 0.5000, 0.5000], [0.5000, 0.0000, 0.5000], [0.0000, 0.0000, 0.0000]], "e_form_ev_per_atom": -0.5812, "sg": "Pm-3m", "magnetic_moment_mub_per_cell": 1.46, "dft_energy_ev_per_atom": -57.598}

***

[3]
{"formula": "VPt2", "functional": "meta-GGA SCAN", "state": "single point on PBEsol structure", "lattice": [[4.7523, -0.0096, 0.0037], [2.4854, 4.0506, -0.0037], [-3.2532, -2.6754, 2.2008]], "species": ["Pt", "Pt", "V"], "frac_coords": [[0.6609, 0.6609, 0.0000], [0.3391, 0.3391, 0.0000], [0.0000, 0.0000, 0.0000]], "e_form_ev_per_atom": -0.6882, "sg": "Immm", "magnetic_moment_mub_per_cell": 0.05, "dft_energy_ev_per_atom": -53.313}

***

[4]
{"formula": "VPt8", "functional": "meta-GGA SCAN", "state": "single point on PBEsol structure", "lattice": [[3.8618, 0.0000, 0.0000], [1.9309, 5.8452, 0.0000], [1.9309, 0.0000, 5.8452]], "species": ["Pt", "Pt", "Pt", "Pt", "Pt", "Pt", "Pt", "Pt", "V"], "frac_coords": [[0.0000, 0.6717, 0.3283], [0.3391, 0.0000, 0.3217], [0.0000, 0.3283, 0.6717], [0.3391, 0.3217, 0.0000], [0.6717, 0.3283, 0.3283], [0.6609, 0.6783, 0.0000], [0.6609, 0.0000, 0.6783], [0.3283, 0.6717, 0.6717], [0.0000, 0.0000, 0.0000]], "e_form_ev_per_atom": -0.3005, "sg": "I4/mmm", "magnetic_moment_mub_per_cell": 0.00, "dft_energy_ev_per_atom": -64.638}

***

[5]
{"formula": "V3Pt", "functional": "meta-GGA SCAN", "state": "single point on PBEsol structure", "lattice": [[4.7512, 0.0000, 0.0000], [0.0000, 4.7512, 0.0000], [0.0000, 0.0000, 4.7512]], "species": ["V", "V", "V", "V", "V", "V", "Pt", "Pt"], "frac_coords": [[0.0000, 0.5000, 0.7500], [0.5000, 0.7500, 0.0000], [0.2500, 0.0000, 0.5000], [0.7500, 0.0000, 0.5000], [0.5000, 0.2500, 0.0000], [0.0000, 0.5000, 0.2500], [0.5000, 0.5000, 0.5000], [0.0000, 0.0000, 0.0000]], "e_form_ev_per_atom": -0.6268, "sg": "Pm-3n", "magnetic_moment_mub_per_cell": 0.00, "dft_energy_ev_per_atom": -31.291}

***

[6]
{"formula": "VPt3", "functional": "meta-GGA SCAN", "state": "single point on PBEsol structure", "lattice": [[-0.8751, 3.2224, 1.8893], [-1.7101, -2.0708, 2.7398], [4.6697, -0.7967, -0.3736]], "species": ["Pt", "Pt", "Pt", "V"], "frac_coords": [[0.2500, 0.7500, 0.5000], [0.7500, 0.2500, 0.5000], [0.5000, 0.5000, 0.0000], [0.0000, 0.0000, 0.0000]], "e_form_ev_per_atom": -0.5675, "sg": "I4/mmm", "magnetic_moment_mub_per_cell": 0.95, "dft_energy_ev_per_atom": -57.584}

***

[7]
{"formula": "PtW4", "functional": "meta-GGA SCAN", "state": "single point on PBEsol structure", "lattice": [[-0.8407, -4.9240, 0.3732], [4.8571, 0.9298, 0.7978], [-2.7473, 2.4265, 3.4142]], "species": ["Pt", "W", "W", "W", "W"], "frac_coords": [[0.0000, 0.0000, 0.0000], [0.0000, 0.5000, 0.0000], [0.0000, 0.0000, 0.5000], [0.5000, 0.5000, 0.5000], [0.5000, 0.0000, 0.0000]], "e_form_ev_per_atom": 1.6707, "sg": "Im-3m", "magnetic_moment_mub_per_cell": 0.00, "dft_energy_ev_per_atom": -68.118}

***

[8]
{"formula": "Pt3W", "functional": "meta-GGA SCAN", "state": "single point on PBEsol structure", "lattice": [[-1.8815, -1.2178, 1.6168], [3.3347, -0.6806, 3.3681], [-0.6464, 4.7416, 0.4573]], "species": ["Pt", "Pt", "Pt", "W"], "frac_coords": [[0.7469, 0.7431, 0.4938], [0.5000, 0.0000, 0.0000], [0.2531, 0.2569, 0.5062], [0.0000, 0.5000, 0.0000]], "e_form_ev_per_atom": -0.2249, "sg": "C2/m", "magnetic_moment_mub_per_cell": 0.00, "dft_energy_ev_per_atom": -70.292}

***

[9]
{"formula": "Pt5W", "functional": "meta-GGA SCAN", "state": "single point on PBEsol structure", "lattice": [[-0.4683, 4.4733, -0.5323], [-4.6755, -0.5919, -0.8608], [1.5412, 0.6947, 4.4826]], "species": ["Pt", "Pt", "Pt", "Pt", "Pt", "W"], "frac_coords": [[0.5000, 0.6667, 0.3333], [0.0000, 0.0000, 0.6718], [0.0000, 0.3282, 0.3282], [0.5000, 0.3333, 0.6667], [0.0000, 0.6718, 0.0000], [0.5000, 0.0000, 0.0000]], "e_form_ev_per_atom": -0.1696, "sg": "P-62m", "magnetic_moment_mub_per_cell": 0.00, "dft_energy_ev_per_atom": -70.279}

***

[10]
{"formula": "Pt3W", "functional": "meta-GGA SCAN", "state": "single point on PBEsol structure", "lattice": [[3.8716, 0.0000, 0.0000], [0.0000, 3.8716, 0.0000], [-1.9358, -1.9358, 3.9918]], "species": ["Pt", "Pt", "Pt", "W"], "frac_coords": [[0.7500, 0.2500, 0.5000], [0.2500, 0.7500, 0.5000], [0.5000, 0.5000, 0.0000], [0.0000, 0.0000, 0.0000]], "e_form_ev_per_atom": -0.2668, "sg": "I4/mmm", "magnetic_moment_mub_per_cell": 0.00, "dft_energy_ev_per_atom": -70.334}

***

[11]
{"formula": "Pt3W", "functional": "meta-GGA SCAN", "state": "single point on PBEsol structure", "lattice": [[-0.1844, 1.6568, -2.1882], [-2.7021, 0.2751, 0.4360], [1.3902, 6.2914, 4.6465]], "species": ["Pt", "Pt", "Pt", "W"], "frac_coords": [[0.0000, 0.0000, 0.2399], [0.5000, 0.5000, 0.5000], [0.0000, 0.0000, 0.7601], [0.5000, 0.5000, 0.0000]], "e_form_ev_per_atom": -0.2629, "sg": "P4/mmm", "magnetic_moment_mub_per_cell": 0.00, "dft_energy_ev_per_atom": -70.330}

***

[12]
{"formula": "Pt3W", "functional": "meta-GGA SCAN", "state": "single point on PBEsol structure", "lattice": [[2.7637, 0.0000, 0.0000], [0.0000, 3.9411, 0.0000], [0.0000, 0.0000, 5.5052]], "species": ["Pt", "Pt", "Pt", "W"], "frac_coords": [[0.5000, 0.5000, 0.5000], [0.0000, 0.0000, 0.7582], [0.0000, 0.0000, 0.2418], [0.5000, 0.5000, 0.0000]], "e_form_ev_per_atom": -0.2599, "sg": "Pmmm", "magnetic_moment_mub_per_cell": 0.00, "dft_energy_ev_per_atom": -70.327}

***

[13]
{"formula": "Pt5W", "functional": "meta-GGA SCAN", "state": "single point on PBEsol structure", "lattice": [[-1.7732, 3.3527, 0.9052], [0.4159, -0.8172, 3.8412], [6.0709, 1.0599, -0.4318]], "species": ["Pt", "Pt", "Pt", "Pt", "Pt", "W"], "frac_coords": [[0.6585, 0.0000, 0.3169], [0.1634, 0.5000, 0.3268], [0.3415, 0.0000, 0.6831], [0.8366, 0.5000, 0.6732], [0.5000, 0.5000, 0.0000], [0.0000, 0.0000, 0.0000]], "e_form_ev_per_atom": -0.2000, "sg": "Cmmm", "magnetic_moment_mub_per_cell": 0.00, "dft_energy_ev_per_atom": -70.309}

***

[14]
{"formula": "YPtW2", "functional": "meta-GGA SCAN", "state": "single point on PBEsol structure", "lattice": [[-1.1280, -4.4690, -0.0848], [0.0055, -2.3032, -3.9933], [3.2357, -3.1788, -0.8230]], "species": ["Y", "W", "W", "Pt"], "frac_coords": [[0.2500, 0.2500, 0.2500], [0.7500, 0.7500, 0.7500], [0.0000, 0.0000, 0.0000], [0.5000, 0.5000, 0.5000]], "e_form_ev_per_atom": 0.0770, "sg": "F-43m", "magnetic_moment_mub_per_cell": 0.00, "dft_energy_ev_per_atom": -59.276}

***

[15]
{"formula": "YPt2W", "functional": "meta-GGA SCAN", "state": "single point on PBEsol structure", "lattice": [[2.8660, 0.0000, 0.0000], [0.0000, 4.7817, 0.0000], [-1.4330, -2.3909, 5.1265]], "species": ["Pt", "Pt", "Y", "W"], "frac_coords": [[0.0188, 0.0188, 0.0376], [0.7538, 0.2538, 0.5076], [0.2528, 0.7528, 0.5055], [0.4746, 0.4746, 0.9493]], "e_form_ev_per_atom": -0.2875, "sg": "Imm2", "magnetic_moment_mub_per_cell": 0.00, "dft_energy_ev_per_atom": -59.767}

***

[16]
{"formula": "YPt2W", "functional": "meta-GGA SCAN", "state": "single point on PBEsol structure", "lattice": [[-2.1755, -1.4331, 1.2748], [0.5249, -1.6831, 2.3030], [-2.0568, 6.3703, 6.9507]], "species": ["Pt", "Pt", "Y", "W"], "frac_coords": [[0.0040, 0.0040, 0.9879], [0.7518, 0.7518, 0.7447], [0.2527, 0.2527, 0.2419], [0.4915, 0.4915, 0.5255]], "e_form_ev_per_atom": 0.1442, "sg": "R3m", "magnetic_moment_mub_per_cell": 0.00, "dft_energy_ev_per_atom": -59.335}

***

[17]
{"formula": "Y2PtW", "functional": "meta-GGA SCAN", "state": "single point on PBEsol structure", "lattice": [[3.1837, 0.0000, 0.0000], [1.5919, 2.7572, 0.0000], [1.5919, 0.9191, 9.7878]], "species": ["W", "Pt", "Y", "Y"], "frac_coords": [[0.2407, 0.2407, 0.2780], [0.5086, 0.5086, 0.4743], [0.7623, 0.7623, 0.7130], [0.9884, 0.9884, 0.0348]], "e_form_ev_per_atom": 0.3216, "sg": "R3m", "magnetic_moment_mub_per_cell": 0.26, "dft_energy_ev_per_atom": -48.570}

***

[18]
{"formula": "YPtW2", "functional": "meta-GGA SCAN", "state": "single point on PBEsol structure", "lattice": [[-2.9748, -0.0572, 0.2022], [0.1788, -4.5673, 1.3387], [1.7354, 2.6994, 4.3026]], "species": ["W", "W", "Y", "Pt"], "frac_coords": [[0.7667, 0.7745, 0.5335], [0.2333, 0.2255, 0.4665], [0.0000, 0.5000, 0.0000], [0.5000, 0.0000, 0.0000]], "e_form_ev_per_atom": 0.1104, "sg": "C2/m", "magnetic_moment_mub_per_cell": 0.00, "dft_energy_ev_per_atom": -59.243}

***

[19]
{"formula": "Y2PtW", "functional": "meta-GGA SCAN", "state": "single point on PBEsol structure", "lattice": [[4.0905, 0.0000, 0.0000], [0.0000, 4.0905, 0.0000], [-2.0453, -2.0453, 4.8523]], "species": ["Y", "Y", "Pt", "W"], "frac_coords": [[0.0000, 0.0000, 0.0000], [0.7500, 0.2500, 0.5000], [0.5000, 0.5000, 0.0000], [0.2500, 0.7500, 0.5000]], "e_form_ev_per_atom": 0.0088, "sg": "I-4m2", "magnetic_moment_mub_per_cell": 0.00, "dft_energy_ev_per_atom": -48.883}

***

[20]
{"formula": "Y2PtW", "functional": "meta-GGA SCAN", "state": "single point on PBEsol structure", "lattice": [[3.3045, 0.0000, 0.0000], [0.0000, 3.5724, 0.0000], [0.0000, 0.0000, 6.9515]], "species": ["Pt", "Y", "Y", "W"], "frac_coords": [[0.5000, 0.5000, 0.0000], [0.0000, 0.0000, 0.2423], [0.0000, 0.0000, 0.7577], [0.5000, 0.5000, 0.5000]], "e_form_ev_per_atom": -0.2257, "sg": "Pmmm", "magnetic_moment_mub_per_cell": 0.00, "dft_energy_ev_per_atom": -49.117}